Material: Li2Al2CrSbO8
Method: DFT, GGA+U
State: relaxed

## Properties
E_tot: -378.77 eV/cell
DOS(E_F): 0.00 states/eV/f.u.

```
data_Li2Al2CrSbO8
_chemical_formula_sum 'Li8 Al8 Cr4 Sb4 O32'
_cell_length_a 10.0484
_cell_length_b 5.8320
_cell_length_c 9.5655
_cell_angle_alpha 90.00
_cell_angle_beta 90.25
_cell_angle_gamma 90.00
_space_group_name_H-M_alt 'C 1 m 1'
_space_group_IT_number 8
_space_group_name_Hall 'C -2y'
loop_
_atom_site_label
_atom_site_type_symbol
_atom_site_fract_x
_atom_site_fract_y
_atom_site_fract_z
Li1 Li 0.0000 0.0000 0.0000
Li2 Li 0.0053 0.0000 0.4944
Li3 Li 0.1690 0.5000 0.9195
Li4 Li 0.3329 0.0000 0.4132
Al1 Al 0.0854 0.2554 0.2240
Al2 Al 0.1723 0.0000 0.7240
Al3 Al 0.3303 0.5000 0.2241
Cr1 Cr 0.4173 0.2453 0.7235
Sb1 Sb 0.1686 0.5000 0.4935
Sb2 Sb 0.3328 0.0000 0.9993
O1 O 0.0009 0.0000 0.3052
O2 O 0.0119 0.0000 0.8139
O3 O 0.0178 0.5000 0.3487
O4 O 0.0885 0.2440 0.6062
O5 O 0.1643 0.0000 0.1118
O6 O 0.1664 0.5000 0.1254
O7 O 0.2420 0.2768 0.3472
O8 O 0.2576 0.2228 0.8524
O9 O 0.3261 0.0000 0.6194
O10 O 0.3403 0.5000 0.6008
O11 O 0.4181 0.2542 0.1114
O12 O 0.4851 0.0000 0.8558
```